Record 1
Ti3HPt: PBEsol geometry, SCAN.

- energy (eV/atom) = -25.038
- size of the total moment (μB per cell) = 0.0

a = 3.9923 Å, b = 3.9923 Å, c = 3.9923 Å
α = 90.00°, β = 90.00°, γ = 90.00°
Fractional coordinates of all 5 atoms:
1 Ti 0.0000 0.0000 0.5000
2 Ti 0.0000 0.5000 0.0000
3 Ti 0.5000 0.0000 0.0000
4 H 0.0000 0.0000 0.0000
5 Pt 0.5000 0.5000 0.5000



Record 2
TlH2Pt: PBEsol geometry, SCAN.

- energy (eV/atom) = -37.280
- size of the total moment (μB per cell) = 0.0

a = 5.1538 Å, b = 5.1538 Å, c = 5.1538 Å
α = 110.28°, β = 110.28°, γ = 107.87°
Fractional coordinates of all 8 atoms:
1 Tl 0.0000 0.0000 0.0000
2 Tl 0.7500 0.2500 0.5000
3 H 0.2918 0.1250 0.6668
4 H 0.3750 0.7082 0.8332
5 H 0.4582 0.6250 0.3332
6 H 0.8750 0.5418 0.1668
7 Pt 0.2500 0.7500 0.5000
8 Pt 0.5000 0.5000 0.0000



Record 3
TlHPt2: PBEsol geometry, SCAN.

- energy (eV/atom) = -53.954
- size of the total moment (μB per cell) = 0.0

a = 5.6401 Å, b = 5.6401 Å, c = 5.6401 Å
α = 122.34°, β = 122.34°, γ = 85.99°
Fractional coordinates of all 8 atoms:
1 Tl 0.0000 0.0000 0.0000
2 Tl 0.7500 0.2500 0.5000
3 H 0.2500 0.7500 0.5000
4 H 0.5000 0.5000 0.0000
5 Pt 0.3058 0.6250 0.1808
6 Pt 0.3750 0.5558 0.6808
7 Pt 0.4442 0.1250 0.8192
8 Pt 0.8750 0.6942 0.3192



Record 4
HPtW3: PBEsol geometry, SCAN.

- energy (eV/atom) = -56.525
- size of the total moment (μB per cell) = 0.0

a = 3.9840 Å, b = 3.9840 Å, c = 3.9840 Å
α = 90.00°, β = 90.00°, γ = 90.00°
Fractional coordinates of all 5 atoms:
1 H 0.0000 0.0000 0.0000
2 Pt 0.5000 0.5000 0.5000
3 W 0.0000 0.0000 0.5000
4 W 0.0000 0.5000 0.0000
5 W 0.5000 0.0000 0.0000



Record 5
Y3HPt: PBEsol geometry, SCAN.

- energy (eV/atom) = -31.966
- size of the total moment (μB per cell) = 2.0

a = 4.6075 Å, b = 4.6075 Å, c = 4.6075 Å
α = 90.00°, β = 90.00°, γ = 90.00°
Fractional coordinates of all 5 atoms:
1 Y 0.0000 0.0000 0.5000
2 Y 0.0000 0.5000 0.0000
3 Y 0.5000 0.0000 0.0000
4 H 0.0000 0.0000 0.0000
5 Pt 0.5000 0.5000 0.5000



Record 6
Y2H2Pt: PBEsol geometry, SCAN.

- energy (eV/atom) = -27.623
- size of the total moment (μB per cell) = 0.0

a = 6.6307 Å, b = 6.6307 Å, c = 6.6307 Å
α = 149.61°, β = 149.61°, γ = 43.52°
Fractional coordinates of all 5 atoms:
1 Y 0.1388 0.1388 0.0000
2 Y 0.8612 0.8612 0.0000
3 H 0.2500 0.7500 0.5000
4 H 0.7500 0.2500 0.5000
5 Pt 0.5000 0.5000 0.0000